No. 1
TiBe3Cd (GGA-PBE, optimized geometry); energy of formation from the pure elements = 1458 meV per atom
1.0
4.509 0.000 0.000
0.000 4.509 0.000
0.000 0.000 4.509
Ti Be Cd
1 3 1
Cartesian
0.000 0.000 0.000
0.000 0.000 2.255
0.000 2.255 0.000
2.255 0.000 0.000
2.255 2.255 2.255

No. 2
Tb4IrPd (GGA-PBE, optimized geometry); energy of formation from the pure elements = -632 meV per atom
1.0
0.000 6.716 6.716
6.716 0.000 6.716
6.716 6.716 0.000
Tb Ir Pd
16 4 4
Cartesian
6.716 6.716 2.527
6.716 2.527 6.716
10.906 6.716 6.716
5.288 5.288 5.288
8.145 8.145 5.288
8.145 5.288 8.145
10.074 10.074 7.505
10.074 7.505 10.074
12.644 10.074 10.074
2.527 6.716 6.716
6.716 10.906 6.716
6.716 6.716 10.906
5.288 8.145 8.145
7.505 10.074 10.074
10.074 12.644 10.074
10.074 10.074 12.644
8.150 5.283 5.283
5.283 8.150 5.283
5.283 5.283 8.150
8.150 8.150 8.150
2.124 2.124 2.124
4.592 4.592 2.124
4.592 2.124 4.592
2.124 4.592 4.592

No. 3
ScTi3Re (GGA-PBE, optimized geometry); energy of formation from the pure elements = 1494 meV per atom
1.0
4.464 0.000 0.000
0.000 4.464 0.000
0.000 0.000 4.464
Sc Ti Re
1 3 1
Cartesian
0.000 0.000 0.000
0.000 0.000 2.232
0.000 2.232 0.000
2.232 0.000 0.000
2.232 2.232 2.232